! MgIr3F GGA-PBE optimized geometry; values from VASP
! - Magnetization: 0.0 μB per formula unit
! - E_tot: -25.317 eV per cell
! - Density of states at the Fermi level: 1.354 states/eV per atom
! - Uncorrected formation energy: 0.95 eV per atom
! - Distance to the lowest polymorph of the same formula: 0 meV per atom
&SYSTEM
  ibrav = 0, nat = 5, ntyp = 3
/
ATOMIC_SPECIES
Mg 24.30 Mg.upf
Ir 192.22 Ir.upf
F 19.00 F.upf
ATOMIC_POSITIONS crystal
Mg 0.500 0.500 0.500
Ir 0.000 0.500 0.000
Ir 0.000 0.000 0.500
Ir 0.500 0.000 0.000
F 0.000 0.000 0.000
CELL_PARAMETERS angstrom
-2.262 1.676 -3.235
-2.267 -3.629 -0.295
-2.853 1.554 2.800